Entry 1:
First-principles (PBE-GGA) data for an optimized crystal structure of AlHg2Br, as listed in Alexandria.

For the uncorrected formation energy, the calculation gives -12.9 kJ per mole of atoms. Its excess energy over the best structure of this formula in the dataset is 1.155 kcal/mol of atoms. Its symmetry is No. 6. As for the magnetic moment: 0.00 μB/atom.

a = 3.580 Å, b = 5.270 Å, c = 6.669 Å
α = 65.73°, β = 90.00°, γ = 90.00°
Sites, in units of the cell vectors:
Hg 0.000 0.007 0.030
Hg 0.500 0.396 0.237
Br 0.500 0.710 0.648
Al 0.000 0.386 0.585

Entry 2:
First-principles (PBE-GGA) data for an optimized crystal structure of Al2HgBr8, as listed in Alexandria.

For the uncorrected formation energy, the calculation gives -88.6 kJ per mole of atoms. Its symmetry is No. 12. As for the magnetic moment: 0.00 μB/atom.

a = 6.566 Å, b = 8.249 Å, c = 8.249 Å
α = 76.62°, β = 85.41°, γ = 85.41°
Sites, in units of the cell vectors:
Al 0.655 0.802 0.802
Al 0.345 0.198 0.198
Hg 0.000 0.000 0.000
Br 0.233 0.284 0.922
Br 0.767 0.078 0.716
Br 0.299 0.805 0.805
Br 0.701 0.195 0.195
Br 0.233 0.922 0.284
Br 0.767 0.716 0.078
Br 0.792 0.633 0.633
Br 0.208 0.367 0.367

Entry 3:
First-principles (PBE-GGA) data for an optimized crystal structure of AlHg2Br, as listed in Alexandria.

For the uncorrected formation energy, the calculation gives -2.1 kJ per mole of atoms. Its excess energy over the best structure of this formula in the dataset is 3.750 kcal/mol of atoms. Its symmetry is No. 139. As for the magnetic moment: 0.00 μB/atom.

a = 6.726 Å, b = 6.726 Å, c = 6.726 Å
α = 142.33°, β = 142.33°, γ = 54.33°
Sites, in units of the cell vectors:
Hg 0.000 0.000 0.000
Hg 0.500 0.500 0.000
Br 0.750 0.250 0.500
Al 0.250 0.750 0.500

Entry 4:
First-principles (PBE-GGA) data for an optimized crystal structure of AlHgBr3, as listed in Alexandria.

For the uncorrected formation energy, the calculation gives -12.8 kJ per mole of atoms. Its excess energy over the best structure of this formula in the dataset is 16.234 kcal/mol of atoms. Its symmetry is No. 221. As for the magnetic moment: 0.00 μB/atom.

a = 5.564 Å, b = 5.564 Å, c = 5.564 Å
α = 90.00°, β = 90.00°, γ = 90.00°
Sites, in units of the cell vectors:
Al 0.500 0.500 0.500
Hg 0.000 0.000 0.000
Br 0.000 0.500 0.000
Br 0.000 0.000 0.500
Br 0.500 0.000 0.000

Entry 5:
First-principles (PBE-GGA) data for an optimized crystal structure of AlHg2Br, as listed in Alexandria.

For the uncorrected formation energy, the calculation gives -9.7 kJ per mole of atoms. Its excess energy over the best structure of this formula in the dataset is 1.925 kcal/mol of atoms. Its symmetry is No. 10. As for the magnetic moment: 0.00 μB/atom.

a = 4.290 Å, b = 5.432 Å, c = 5.458 Å
α = 63.76°, β = 90.00°, γ = 90.00°
Sites, in units of the cell vectors:
Hg 0.000 0.050 0.049
Hg 0.000 0.450 0.451
Br 0.500 0.750 0.750
Al 0.500 0.250 0.250

Entry 6:
First-principles (PBE-GGA) data for an optimized crystal structure of AlHg2Br, as listed in Alexandria.

For the uncorrected formation energy, the calculation gives -0.9 kJ per mole of atoms. Its excess energy over the best structure of this formula in the dataset is 4.018 kcal/mol of atoms. Its symmetry is No. 65. As for the magnetic moment: 0.00 μB/atom.

a = 3.723 Å, b = 3.723 Å, c = 7.982 Å
α = 90.00°, β = 90.00°, γ = 110.24°
Sites, in units of the cell vectors:
Hg 0.000 0.000 0.025
Hg 0.000 0.000 0.475
Br 0.500 0.500 0.750
Al 0.500 0.500 0.250